Fe2PPt | SCAN | PBEsol geometry

Unit cell a=3.605 b=3.605 c=3.540 alpha=90.00 beta=90.00 gamma=90.00
Positions (direct):
Fe 0.000 0.500 0.000
Fe 0.500 0.000 0.000
P 0.000 0.000 0.500
Pt 0.500 0.500 0.500

Total magnetic moment = 5.959 μB/cell
DFT formation energy = -1.13 kcal/mol of atoms
Volume = 46 Å³/cell

FeP2Pt | SCAN | PBEsol geometry

Unit cell a=6.240 b=6.240 c=6.240 alpha=131.86 beta=131.86 gamma=70.44
Positions (direct):
Fe 0.000 0.000 0.000
Fe 0.750 0.250 0.500
P 0.094 0.625 0.969
P 0.375 0.344 0.469
P 0.656 0.125 0.031
P 0.875 0.906 0.531
Pt 0.250 0.750 0.500
Pt 0.500 0.500 0.000

Total magnetic moment = 0.001 μB/cell
DFT formation energy = -5.08 kcal/mol of atoms
Volume = 132 Å³/cell